The following is a PBE calculation of PrTm3In4 after structural relaxation, from the Alexandria database.

Structure (CIF):
```
data_PrTm3In4
_space_group_name_H-M_alt 'P 1'
_space_group_IT_number 1
_cell_length_a 5.508
_cell_length_b 7.214
_cell_length_c 10.741
_cell_angle_alpha 90.00
_cell_angle_beta 90.00
_cell_angle_gamma 90.00
loop_
_space_group_symop_operation_xyz
'x,y,z'
loop_
_atom_site_label
_atom_site_fract_x
_atom_site_fract_y
_atom_site_fract_z
_atom_site_occupancy
In1 0.910 0.761 0.250 1
Pr1 0.000 0.500 0.000 1
Tm1 0.430 0.500 0.250 1
In2 0.500 0.762 0.500 1
Tm2 0.000 0.000 0.000 1
Tm3 0.588 0.000 0.750 1
In3 0.910 0.239 0.250 1
Tm4 0.412 0.000 0.250 1
In4 0.090 0.761 0.750 1
Pr2 0.000 0.500 0.500 1
In5 0.090 0.239 0.750 1
In6 0.500 0.238 0.000 1
Tm5 0.570 0.500 0.750 1
In7 0.500 0.762 0.000 1
Tm6 0.000 0.000 0.500 1
In8 0.500 0.238 0.500 1
```

volume = 26.67 A^3/atom
raw total energy = -65.29 eV for the cell shown
spin magnetization = 0.000 μB per cell
symmetry = Pmma (51)